Entry 1:
This record from OQMD via LeMat-Bulk describes a relaxed structure of ReSbNO. The functional is PBE-GGA.

Results
Its relative energy among the computed polymorphs is 104 meV/atom. For the total energy, the calculation gives -7.551 eV per atom. As for the total moment: 0.00 Bohr magnetons per cell.

abc: 3.004 6.268 6.568
angles: 90.00 90.00 90.00
Space group Pmc2_1 (No. 26)
Asymmetric unit:
Re 0.000 0.088 0.000 [2 per cell]
Sb 0.500 0.294 0.461 [2 per cell]
N 0.000 0.124 0.723 [2 per cell]
O 0.500 0.266 0.121 [2 per cell]

Entry 2:
This record from OQMD via LeMat-Bulk describes a relaxed structure of ReSiNO. The functional is PBE-GGA.

Results
Its relative energy among the computed polymorphs is 437 meV/atom. For the total energy, the calculation gives -8.207 eV per atom. As for the total moment: 0.00 Bohr magnetons per cell.

abc: 2.995 5.416 5.049
angles: 90.00 90.00 90.00
Space group Pmc2_1 (No. 26)
Asymmetric unit:
Re 0.000 0.092 0.000 [2 per cell]
Si 0.500 0.322 0.554 [2 per cell]
N 0.500 0.362 0.903 [2 per cell]
O 0.000 0.280 0.369 [2 per cell]

Entry 3:
This record from OQMD via LeMat-Bulk describes a relaxed structure of ReSiNO. The functional is PBE-GGA.

Results
Its relative energy among the computed polymorphs is 860 meV/atom. For the total energy, the calculation gives -7.784 eV per atom. As for the total moment: 0.00 Bohr magnetons per cell.

abc: 3.724 3.724 6.104
angles: 90.00 90.00 90.00
Space group P4/nmm (No. 129, origin choice 2)
Asymmetric unit:
Re 0.250 0.750 0.000 [2 per cell]
Si 0.250 0.250 0.356 [2 per cell]
N 0.250 0.250 0.847 [2 per cell]
O 0.250 0.750 0.500 [2 per cell]

Entry 4:
This record from OQMD via LeMat-Bulk describes a relaxed structure of ReSiNO. The functional is PBE-GGA.

Results
Its relative energy among the computed polymorphs is 0 meV/atom. For the total energy, the calculation gives -8.644 eV per atom. As for the total moment: 0.00 Bohr magnetons per cell.

abc: 2.789 7.262 4.845
angles: 90.00 90.00 90.00
Space group Pmc2_1 (No. 26)
Asymmetric unit:
Re 0.000 0.009 0.000 [2 per cell]
Si 0.500 0.372 0.332 [2 per cell]
N 0.000 0.243 0.265 [2 per cell]
O 0.500 0.438 0.654 [2 per cell]